A plane-wave DFT calculation with PBE-GGA was carried out for an optimized crystal structure of LaCuSi2Pd.

Cell lengths 5.8341, 5.8341, 5.8341 Å; angles 137.65, 137.65, 61.44 degrees
With the nearest neighbours (Å) after each atom.
Fractional positions:
Cu 0.2500 0.7500 0.5000  4 Si 2.48
La 0.0000 0.0000 0.0000  8 Si 3.21, 4 Cu 3.28, 4 Pd 3.28
Pd 0.7500 0.2500 0.5000  4 Si 2.48
Si 0.3798 0.3798 0.0000  1 Si 2.41, 2 Cu 2.48, 2 Pd 2.48
Si 0.6202 0.6202 0.0000  1 Si 2.41, 2 Cu 2.48, 2 Pd 2.48

Summary:
For the total energy, the calculation gives -5.702 eV/atom.

***

A plane-wave DFT calculation with PBE-GGA was carried out for an optimized crystal structure of La2CuSi2Pd.

Cell lengths 4.2418, 4.2418, 8.4876 Å; angles 90.00, 90.00, 120.00 degrees
With the nearest neighbours (Å) after each atom.
Fractional positions:
Cu 0.0000 0.0000 0.0000  3 Si 2.45
La 0.3333 0.6667 0.2491  6 Si 3.24-3.25, 3 Cu 3.24, 3 Pd 3.25
La 0.3333 0.6667 0.7509  6 Si 3.24-3.25, 3 Cu 3.24, 3 Pd 3.25
Pd 0.6667 0.3333 0.5000  3 Si 2.45
Si 0.6667 0.3333 0.0000  3 Cu 2.45
Si 0.0000 0.0000 0.5000  3 Pd 2.45

Summary:
For the total energy, the calculation gives -5.707 eV/atom.

***

A plane-wave DFT calculation with PBE-GGA was carried out for an optimized crystal structure of La2SmCu2Si4Pd2.

Cell lengths 12.7024, 12.7024, 12.7024 Å; angles 161.26, 160.90, 26.89 degrees
With the nearest neighbours (Å) after each atom.
Fractional positions:
Cu 0.2496 0.2496 0.0000  4 Si 2.42-2.47
Cu 0.7504 0.7504 0.0000  4 Si 2.42-2.47
La 0.6515 0.1515 0.5000  6 Si 3.17-3.29, 4 Cu 3.20-3.21, 4 Pd 3.25
La 0.3485 0.8485 0.5000  6 Si 3.17-3.29, 4 Cu 3.20-3.21, 4 Pd 3.25
Pd 0.9031 0.4031 0.5000  3 Si 2.43-2.51
Pd 0.0969 0.5969 0.5000  3 Si 2.43-2.51
Si 0.4522 0.4522 0.0000  1 Si 2.36, 2 Pd 2.43
Si 0.5478 0.5478 0.0000  1 Si 2.36, 2 Pd 2.43
Si 0.8016 0.3016 0.5000  4 Cu 2.42-2.47, 1 Pd 2.51
Si 0.1984 0.6984 0.5000  4 Cu 2.42-2.47, 1 Pd 2.51
Sm 0.0000 0.0000 0.0000  4 Pd 3.16, 8 Si 3.18

Summary:
For the total energy, the calculation gives -5.698 eV/atom.

***

A plane-wave DFT calculation with PBE-GGA was carried out for an optimized crystal structure of LaSm2Cu2Si4Pd2.

Cell lengths 12.4719, 12.4719, 12.4719 Å; angles 160.94, 160.51, 27.39 degrees
With the nearest neighbours (Å) after each atom.
Fractional positions:
Cu 0.2496 0.2496 0.0000  4 Si 2.41-2.46
Cu 0.7504 0.7504 0.0000  4 Si 2.41-2.46
La 0.0000 0.0000 0.0000  4 Pd 3.16, 8 Si 3.19
Pd 0.9012 0.4012 0.5000  3 Si 2.41-2.42
Pd 0.0988 0.5988 0.5000  3 Si 2.41-2.42
Si 0.4503 0.4503 0.0000  1 Si 2.41, 2 Pd 2.42
Si 0.5497 0.5497 0.0000  1 Si 2.41, 2 Pd 2.42
Si 0.8018 0.3018 0.5000  1 Pd 2.41, 4 Cu 2.41-2.46
Si 0.1982 0.6982 0.5000  1 Pd 2.41, 4 Cu 2.41-2.46
Sm 0.6528 0.1528 0.5000  4 Cu 3.14-3.15, 6 Si 3.15-3.24, 4 Pd 3.23
Sm 0.3472 0.8472 0.5000  4 Cu 3.14-3.15, 6 Si 3.15-3.24, 4 Pd 3.23

Summary:
For the total energy, the calculation gives -5.670 eV/atom.

***

A plane-wave DFT calculation with PBE-GGA was carried out for an optimized crystal structure of LaCuSn2Pd.

Cell lengths 4.6193, 4.5730, 10.6065 Å; angles 90.00, 90.77, 90.00 degrees
With the nearest neighbours (Å) after each atom.
Fractional positions:
Cu 0.7454 0.2500 0.3714  5 Sn 2.55-2.68
Cu 0.2546 0.7500 0.6286  5 Sn 2.55-2.68
La 0.2419 0.7500 0.2438  4 Pd 3.36-3.60, 8 Sn 3.44-3.58, 4 Cu 3.52
La 0.7581 0.2500 0.7562  4 Pd 3.36-3.60, 8 Sn 3.44-3.58, 4 Cu 3.52
Pd 0.2256 0.2500 0.0011  4 Sn 2.68-2.69
Pd 0.7744 0.7500 0.9989  4 Sn 2.68-2.69
Sn 0.7310 0.2500 0.1309  1 Cu 2.55, 4 Pd 2.68-2.69
Sn 0.2497 0.2500 0.4989  4 Cu 2.67-2.68
Sn 0.7503 0.7500 0.5011  4 Cu 2.67-2.68
Sn 0.2690 0.7500 0.8691  1 Cu 2.55, 4 Pd 2.68-2.69

Summary:
For the total energy, the calculation gives -5.002 eV/atom. The excess energy over the best structure of this formula in the dataset comes out at 18 meV/atom.

***

A plane-wave DFT calculation with PBE-GGA was carried out for an optimized crystal structure of LaCuSn2Pd.

Cell lengths 4.5341, 4.5341, 10.9192 Å; angles 90.00, 90.00, 90.00 degrees
With the nearest neighbours (Å) after each atom.
Fractional positions:
Cu 0.0000 0.0000 0.0000  4 Sn 2.63
Cu 0.5000 0.5000 0.0000  4 Sn 2.63
La 0.5000 0.0000 0.2375  8 Sn 3.44-3.65, 4 Cu 3.44, 4 Pd 3.49
La 0.0000 0.5000 0.7625  8 Sn 3.44-3.65, 4 Cu 3.44, 4 Pd 3.49
Pd 0.0000 0.5000 0.3639  5 Sn 2.63-2.71
Pd 0.5000 0.0000 0.6361  5 Sn 2.63-2.71
Sn 0.0000 0.5000 0.1228  1 Pd 2.63, 4 Cu 2.63
Sn 0.0000 0.0000 0.5000  4 Pd 2.71
Sn 0.5000 0.5000 0.5000  4 Pd 2.71
Sn 0.5000 0.0000 0.8772  1 Pd 2.63, 4 Cu 2.63

Summary:
For the total energy, the calculation gives -5.019 eV/atom. The excess energy over the best structure of this formula in the dataset comes out at 1 meV/atom.

***

A plane-wave DFT calculation with PBE-GGA was carried out for an optimized crystal structure of LaCuSn2Pd.

Cell lengths 4.5844, 4.5229, 10.8372 Å; angles 90.00, 91.20, 90.00 degrees
With the nearest neighbours (Å) after each atom.
Fractional positions:
Cu 0.8045 0.7500 0.4995  4 Sn 2.62-2.66, 2 Cu 2.89
Cu 0.1955 0.2500 0.5005  4 Sn 2.62-2.66, 2 Cu 2.89
La 0.7645 0.2500 0.2602  3 Cu 3.24-3.44, 6 Sn 3.40-3.60, 4 Pd 3.48-3.51
La 0.2355 0.7500 0.7398  3 Cu 3.24-3.44, 6 Sn 3.40-3.60, 4 Pd 3.48-3.51
Pd 0.2548 0.7500 0.1347  5 Sn 2.65-2.71
Pd 0.7452 0.2500 0.8653  5 Sn 2.65-2.71
Sn 0.7492 0.7500 0.0014  4 Pd 2.70-2.71
Sn 0.2930 0.7500 0.3787  4 Cu 2.62-2.66, 1 Pd 2.65
Sn 0.7070 0.2500 0.6213  4 Cu 2.62-2.66, 1 Pd 2.65
Sn 0.2508 0.2500 0.9986  4 Pd 2.70-2.71

Summary:
For the total energy, the calculation gives -5.020 eV/atom. The excess energy over the best structure of this formula in the dataset comes out at 0 meV/atom.

***

A plane-wave DFT calculation with PBE-GGA was carried out for an optimized crystal structure of LaCuSn2Pd.

Cell lengths 4.5815, 4.5815, 10.6672 Å; angles 90.00, 90.00, 90.00 degrees
With the nearest neighbours (Å) after each atom.
Fractional positions:
Cu 0.0000 0.5000 0.3700  5 Sn 2.55-2.68
Cu 0.5000 0.0000 0.6300  5 Sn 2.55-2.68
La 0.5000 0.0000 0.2434  8 Sn 3.45-3.57, 4 Pd 3.46, 4 Cu 3.51
La 0.0000 0.5000 0.7566  8 Sn 3.45-3.57, 4 Pd 3.46, 4 Cu 3.51
Pd 0.0000 0.0000 0.0000  4 Sn 2.68
Pd 0.5000 0.5000 0.0000  4 Sn 2.68
Sn 0.0000 0.5000 0.1310  1 Cu 2.55, 4 Pd 2.68
Sn 0.0000 0.0000 0.5000  4 Cu 2.68
Sn 0.5000 0.5000 0.5000  4 Cu 2.68
Sn 0.5000 0.0000 0.8690  1 Cu 2.55, 4 Pd 2.68

Summary:
For the total energy, the calculation gives -5.002 eV/atom. The excess energy over the best structure of this formula in the dataset comes out at 17 meV/atom.

***

A plane-wave DFT calculation with PBE-GGA was carried out for an optimized crystal structure of LaPrCu2.

Cell lengths 5.7080, 4.6034, 7.4510 Å; angles 90.00, 90.27, 90.00 degrees
With the nearest neighbours (Å) after each atom.
Fractional positions:
Cu 0.1193 0.2500 0.0344  2 Cu 2.72, 1 La 3.00, 1 Pr 3.00
Cu 0.6223 0.7500 0.4679  2 Cu 2.74, 1 La 2.99, 1 Pr 3.01
Cu 0.3777 0.2500 0.5321  2 Cu 2.74, 1 La 2.99, 1 Pr 3.01
Cu 0.8807 0.7500 0.9656  2 Cu 2.72, 1 La 3.00, 1 Pr 3.00
La 0.6311 0.2500 0.1822  7 Cu 2.99-3.15
La 0.3689 0.7500 0.8178  7 Cu 2.99-3.15
Pr 0.1300 0.7500 0.3213  7 Cu 3.00-3.14
Pr 0.8700 0.2500 0.6787  7 Cu 3.00-3.14

Summary:
For the total energy, the calculation gives -4.461 eV/atom. As for the energy relative to the elements: -0.178 eV/atom. The excess energy over the best structure of this formula in the dataset comes out at 0 meV/atom.

***

A plane-wave DFT calculation with PBE-GGA was carried out for an optimized crystal structure of LaPrCu.

Cell lengths 4.9124, 4.9124, 4.9124 Å; angles 60.00, 60.00, 60.00 degrees
With the nearest neighbours (Å) after each atom.
Fractional positions:
Cu 0.2500 0.2500 0.2500  4 Pr 3.01
La 0.7500 0.7500 0.7500  4 Pr 3.01
Pr 0.0000 0.0000 0.0000  4 La 3.01, 4 Cu 3.01

Summary:
For the total energy, the calculation gives -3.987 eV/atom. As for the energy relative to the elements: 0.484 eV/atom. The excess energy over the best structure of this formula in the dataset comes out at 0 meV/atom.

***

A plane-wave DFT calculation with PBE-GGA was carried out for an optimized crystal structure of LaPrCu2.

Cell lengths 4.6104, 5.7055, 7.4369 Å; angles 90.00, 90.00, 90.00 degrees
With the nearest neighbours (Å) after each atom.
Fractional positions:
Cu 0.0000 0.1303 0.0333  2 Cu 2.73, 2 Pr 2.99-3.00
Cu 0.5000 0.6283 0.4661  2 Cu 2.73, 2 La 3.00-3.01
Cu 0.0000 0.8697 0.5333  2 Cu 2.73, 2 Pr 2.99-3.00
Cu 0.5000 0.3717 0.9661  2 Cu 2.73, 2 La 3.00-3.01
La 0.5000 0.1206 0.3202  7 Cu 3.00-3.14
La 0.5000 0.8794 0.8202  7 Cu 3.00-3.14
Pr 0.0000 0.6196 0.1804  7 Cu 2.99-3.14
Pr 0.0000 0.3804 0.6804  7 Cu 2.99-3.14

Summary:
For the total energy, the calculation gives -4.461 eV/atom. As for the energy relative to the elements: -0.178 eV/atom. The excess energy over the best structure of this formula in the dataset comes out at 0 meV/atom.

***

A plane-wave DFT calculation with PBE-GGA was carried out for an optimized crystal structure of LaPrCu2.

Cell lengths 4.5255, 5.7593, 5.7593 Å; angles 39.83, 90.00, 90.00 degrees
With the nearest neighbours (Å) after each atom.
Fractional positions:
Cu 0.0000 0.0646 0.0646  2 Cu 2.66, 2 La 2.98
Cu 0.5000 0.9359 0.9359  2 Cu 2.66, 2 Pr 2.97
La 0.0000 0.3580 0.3580  7 Cu 2.98-3.18
Pr 0.5000 0.6414 0.6414  7 Cu 2.97-3.19

Summary:
For the total energy, the calculation gives -4.447 eV/atom. As for the energy relative to the elements: -0.164 eV/atom. The excess energy over the best structure of this formula in the dataset comes out at 13 meV/atom.